# BaMgMn4O8 (PBE with a Hubbard U, optimized geometry)
# * magnetic moment: 16.0 μB per cell
# * final energy: -6.96 eV/atom
data_BaMgMn4O8
_cell_length_a 5.486
_cell_length_b 5.486
_cell_length_c 7.237
_cell_angle_alpha 90.00
_cell_angle_beta 90.00
_cell_angle_gamma 120.00
_symmetry_space_group_name_H-M 'P 1'
_symmetry_Int_Tables_number 1
_symmetry_space_group_name_Hall 'P 1'
loop_
_atom_site_label
_atom_site_type_symbol
_atom_site_fract_x
_atom_site_fract_y
_atom_site_fract_z
_atom_site_occupancy
Ba1 Ba 0.000 0.000 0.000 1
Mg1 Mg 0.000 0.000 0.500 1
Mn1 Mn 0.333 0.667 0.738 1
Mn2 Mn 0.667 0.333 0.738 1
Mn3 Mn 0.333 0.667 0.262 1
Mn4 Mn 0.667 0.333 0.262 1
O1 O 0.310 0.310 0.681 1
O2 O 0.690 0.000 0.681 1
O3 O 0.000 0.690 0.681 1
O4 O 0.690 0.690 0.319 1
O5 O 0.000 0.310 0.319 1
O6 O 0.310 0.000 0.319 1
O7 O 0.333 0.667 0.000 1
O8 O 0.667 0.333 0.000 1